No. 1
Here is KNi2H3 after structural relaxation from OQMD. Energies are from PBE-GGA.

Summary:
DFT total energy: -21.32 eV per cell

a b c (Å): 2.8367 2.8367 7.5836
angles (deg): 90.00 90.00 120.00
Fractional positions:
1 K 0.0000 0.0000 0.0000
2 Ni 0.3333 0.6667 0.6369
3 Ni 0.6667 0.3333 0.3631
4 H 0.0000 0.0000 0.5000
5 H 0.3333 0.6667 0.2732
6 H 0.6667 0.3333 0.7268



No. 2
Here is HoBeCd after structural relaxation from OQMD. Energies are from PBE-GGA.

Summary:
DFT total energy: -28.83 eV per cell

a b c (Å): 6.6939 6.6939 6.6939
angles (deg): 90.00 90.00 90.00
Fractional positions:
1 Ho 0.0000 0.0000 0.0000
2 Ho 0.0000 0.5000 0.5000
3 Ho 0.5000 0.0000 0.5000
4 Ho 0.5000 0.5000 0.0000
5 Be 0.2500 0.2500 0.7500
6 Be 0.2500 0.7500 0.2500
7 Be 0.7500 0.2500 0.2500
8 Be 0.7500 0.7500 0.7500
9 Cd 0.2500 0.2500 0.2500
10 Cd 0.2500 0.7500 0.7500
11 Cd 0.7500 0.2500 0.7500
12 Cd 0.7500 0.7500 0.2500



no.,M_tot (μB per cell)
1,0.01
2,0.00